No. 1
This record from OQMD via LeMat-Bulk describes crystalline YZrInCu at its relaxed geometry. The functional is GGA-PBE.

a b c (Å): 5.0469 5.0469 5.0469
angles (deg): 60.00 60.00 60.00
Closest atoms and distances in Å follow each position.
Element x y z (fractional)
Y1 0.0000 0.0000 0.0000  4 Zr 3.09, 4 Cu 3.09
Zr1 0.2500 0.2500 0.2500  4 In 3.09, 4 Y 3.09
In1 0.5000 0.5000 0.5000  4 Cu 3.09, 4 Zr 3.09
Cu1 0.7500 0.7500 0.7500  4 In 3.09, 4 Y 3.09

Computed properties:
E above lowest polymorph: 0 meV per atom
Energy: -5.198 eV per atom
Size of the total moment: 2.9 Bohr magnetons per cell

No. 2
This record from OQMD via LeMat-Bulk describes crystalline ZnInCu2 at its relaxed geometry. The functional is GGA-PBE.

a b c (Å): 6.1987 6.1987 6.1987
angles (deg): 90.00 90.00 90.00
Closest atoms and distances in Å follow each position.
Element x y z (fractional)
Zn1 0.0000 0.0000 0.0000  8 Cu 2.48
Zn2 0.0000 0.0000 0.5000  8 Cu 2.62
Zn3 0.0000 0.5000 0.0000  8 Cu 2.62
Zn4 0.5000 0.0000 0.0000  8 Cu 2.62
In1 0.0000 0.5000 0.5000  8 Cu 2.76
In2 0.5000 0.0000 0.5000  8 Cu 2.76
In3 0.5000 0.5000 0.0000  8 Cu 2.76
In4 0.5000 0.5000 0.5000  8 Cu 2.89, 6 In 3.10
Cu1 0.2308 0.2308 0.2308  4 Zn 2.48-2.62, 3 In 2.76
Cu2 0.2308 0.2308 0.7692  4 Zn 2.48-2.62, 3 In 2.76
Cu3 0.2308 0.7692 0.2308  4 Zn 2.48-2.62, 3 In 2.76
Cu4 0.2308 0.7692 0.7692  4 Zn 2.48-2.62, 3 In 2.76
Cu5 0.7692 0.2308 0.2308  4 Zn 2.48-2.62, 3 In 2.76
Cu6 0.7692 0.2308 0.7692  4 Zn 2.48-2.62, 3 In 2.76
Cu7 0.7692 0.7692 0.2308  4 Zn 2.48-2.62, 3 In 2.76
Cu8 0.7692 0.7692 0.7692  4 Zn 2.48-2.62, 3 In 2.76

Computed properties:
Energy: -2.845 eV per atom

No. 3
This record from OQMD via LeMat-Bulk describes crystalline ZnInCu6 at its relaxed geometry. The functional is GGA-PBE.

a b c (Å): 5.3130 5.3130 4.3261
angles (deg): 90.00 90.00 120.00
Closest atoms and distances in Å follow each position.
Element x y z (fractional)
Zn1 0.0000 0.0000 0.0000  12 Cu 2.66
In1 0.3333 0.6667 0.5000  12 Cu 2.66-2.69
Cu1 0.3363 0.1682 0.5000  8 Cu 2.63-2.68, 2 In 2.66, 2 Zn 2.66
Cu2 0.5077 0.0154 0.0000  8 Cu 2.53-2.78, 2 Zn 2.66, 2 In 2.69
Cu3 0.5077 0.4923 0.0000  8 Cu 2.53-2.78, 2 Zn 2.66, 2 In 2.69
Cu4 0.8318 0.1682 0.5000  8 Cu 2.63-2.68, 2 In 2.66, 2 Zn 2.66
Cu5 0.8318 0.6637 0.5000  8 Cu 2.63-2.68, 2 In 2.66, 2 Zn 2.66
Cu6 0.9846 0.4923 0.0000  8 Cu 2.53-2.78, 2 Zn 2.66, 2 In 2.69

Computed properties:
Energy: -3.297 eV per atom

No. 4
This record from OQMD via LeMat-Bulk describes crystalline ZnIn2Cu5 at its relaxed geometry. The functional is GGA-PBE.

a b c (Å): 4.3392 4.3392 6.1219
angles (deg): 90.00 90.00 90.00
Closest atoms and distances in Å follow each position.
Element x y z (fractional)
Zn1 0.0000 0.0000 0.0000  8 Cu 2.66
In1 0.0000 0.0000 0.5000  8 Cu 2.65
In2 0.5000 0.5000 0.0000  8 Cu 2.66
Cu1 0.0000 0.5000 0.2510  4 In 2.65-2.66, 2 Cu 2.65, 2 Zn 2.66
Cu2 0.0000 0.5000 0.7490  4 In 2.65-2.66, 2 Cu 2.65, 2 Zn 2.66
Cu3 0.5000 0.0000 0.2510  4 In 2.65-2.66, 2 Cu 2.65, 2 Zn 2.66
Cu4 0.5000 0.0000 0.7490  4 In 2.65-2.66, 2 Cu 2.65, 2 Zn 2.66
Cu5 0.5000 0.5000 0.5000  8 Cu 2.65

Computed properties:
Energy: -3.132 eV per atom

No. 5
This record from OQMD via LeMat-Bulk describes crystalline ZnInCu2 at its relaxed geometry. The functional is GGA-PBE.

a b c (Å): 6.1983 6.1983 6.1983
angles (deg): 90.00 90.00 90.00
Closest atoms and distances in Å follow each position.
Element x y z (fractional)
Zn1 0.0000 0.0000 0.0000  8 Cu 2.47
Zn2 0.0000 0.0000 0.5000  8 Cu 2.62
Zn3 0.0000 0.5000 0.0000  8 Cu 2.62
Zn4 0.5000 0.0000 0.0000  8 Cu 2.62
In1 0.0000 0.5000 0.5000  8 Cu 2.76
In2 0.5000 0.0000 0.5000  8 Cu 2.76
In3 0.5000 0.5000 0.0000  8 Cu 2.76
In4 0.5000 0.5000 0.5000  8 Cu 2.90, 6 In 3.10
Cu1 0.2302 0.2302 0.2302  4 Zn 2.47-2.62, 3 In 2.76
Cu2 0.2302 0.2302 0.7698  4 Zn 2.47-2.62, 3 In 2.76
Cu3 0.2302 0.7698 0.2302  4 Zn 2.47-2.62, 3 In 2.76
Cu4 0.2302 0.7698 0.7698  4 Zn 2.47-2.62, 3 In 2.76
Cu5 0.7698 0.2302 0.2302  4 Zn 2.47-2.62, 3 In 2.76
Cu6 0.7698 0.2302 0.7698  4 Zn 2.47-2.62, 3 In 2.76
Cu7 0.7698 0.7698 0.2302  4 Zn 2.47-2.62, 3 In 2.76
Cu8 0.7698 0.7698 0.7698  4 Zn 2.47-2.62, 3 In 2.76

Computed properties:
Energy: -2.845 eV per atom

No. 6
This record from OQMD via LeMat-Bulk describes crystalline ZnIn2Cu5 at its relaxed geometry. The functional is GGA-PBE.

a b c (Å): 4.3371 4.3371 6.1350
angles (deg): 90.00 90.00 90.00
Closest atoms and distances in Å follow each position.
Element x y z (fractional)
Zn1 0.0000 0.0000 0.0000  8 Cu 2.66
In1 0.0000 0.0000 0.5000  8 Cu 2.65
In2 0.5000 0.5000 0.0000  8 Cu 2.66
Cu1 0.0000 0.5000 0.2509  4 In 2.65-2.66, 2 Cu 2.65, 2 Zn 2.66
Cu2 0.0000 0.5000 0.7491  4 In 2.65-2.66, 2 Cu 2.65, 2 Zn 2.66
Cu3 0.5000 0.0000 0.2509  4 In 2.65-2.66, 2 Cu 2.65, 2 Zn 2.66
Cu4 0.5000 0.0000 0.7491  4 In 2.65-2.66, 2 Cu 2.65, 2 Zn 2.66
Cu5 0.5000 0.5000 0.5000  8 Cu 2.65

Computed properties:
Energy: -3.132 eV per atom

No. 7
This record from OQMD via LeMat-Bulk describes crystalline Zr2In2Cu at its relaxed geometry. The functional is GGA-PBE.

a b c (Å): 8.2474 8.2474 8.2474
angles (deg): 152.07 152.07 39.91
Closest atoms and distances in Å follow each position.
Element x y z (fractional)
Zr1 0.0897 0.0897 0.0000  1 Zr 2.78
Zr2 0.9103 0.9103 0.0000  1 Zr 2.78
In1 0.2500 0.7500 0.5000  4 In 2.82
In2 0.7500 0.2500 0.5000  4 In 2.82
Cu1 0.5000 0.5000 0.0000  8 Zr 3.14

Computed properties:
Energy: -4.839 eV per atom
Size of the total moment: 0.4 Bohr magnetons per cell

No. 8
This record from OQMD via LeMat-Bulk describes crystalline ZrIn2Cu at its relaxed geometry. The functional is GGA-PBE.

a b c (Å): 4.8547 4.8547 4.8547
angles (deg): 60.00 60.00 60.00
Closest atoms and distances in Å follow each position.
Element x y z (fractional)
Zr1 0.0000 0.0000 0.0000  4 In 2.97, 4 Cu 2.97
In1 0.5000 0.5000 0.5000  4 In 2.97, 4 Cu 2.97
In2 0.7500 0.7500 0.7500  4 Zr 2.97, 4 In 2.97
Cu1 0.2500 0.2500 0.2500  4 In 2.97, 4 Zr 2.97

Computed properties:
Energy: -4.303 eV per atom
Size of the total moment: 0.0 Bohr magnetons per cell

No. 9
This record from OQMD via LeMat-Bulk describes crystalline Cu3Ir at its relaxed geometry. The functional is GGA-PBE.

a b c (Å): 4.2678 5.2764 4.4800
angles (deg): 90.00 90.00 90.00
Closest atoms and distances in Å follow each position.
Element x y z (fractional)
Cu1 0.2500 0.0006 0.1672  8 Cu 2.58-2.64, 4 Ir 2.59-2.62
Cu2 0.2500 0.2500 0.6711  8 Cu 2.58-2.61, 4 Ir 2.63-2.64
Cu3 0.2500 0.4994 0.1672  8 Cu 2.58-2.64, 4 Ir 2.59-2.62
Cu4 0.7500 0.5006 0.8328  8 Cu 2.58-2.64, 4 Ir 2.59-2.62
Cu5 0.7500 0.7500 0.3289  8 Cu 2.58-2.61, 4 Ir 2.63-2.64
Cu6 0.7500 0.9994 0.8328  8 Cu 2.58-2.64, 4 Ir 2.59-2.62
Ir1 0.2500 0.7500 0.6710  12 Cu 2.59-2.64
Ir2 0.7500 0.2500 0.3290  12 Cu 2.59-2.64

Computed properties:
Energy: -4.843 eV per atom
Size of the total moment: 0.0 Bohr magnetons per cell
ΔH_f (0 K): 0.159 eV per atom

No. 10
This record from OQMD via LeMat-Bulk describes crystalline KCuReIr at its relaxed geometry. The functional is GGA-PBE.

a b c (Å): 4.5060 4.5060 4.5060
angles (deg): 60.00 60.00 60.00
Closest atoms and distances in Å follow each position.
Element x y z (fractional)
K1 0.0000 0.0000 0.0000  4 Re 2.76, 4 Cu 2.76
Cu1 0.2500 0.2500 0.2500  4 Ir 2.76, 4 K 2.76
Re1 0.7500 0.7500 0.7500  4 Ir 2.76, 4 K 2.76
Ir1 0.5000 0.5000 0.5000  4 Re 2.76, 4 Cu 2.76

Computed properties:
E above lowest polymorph: 0 meV per atom
Energy: -5.327 eV per atom
Size of the total moment: 0.0 Bohr magnetons per cell

No. 11
This record from OQMD via LeMat-Bulk describes crystalline KCuReIr at its relaxed geometry. The functional is GGA-PBE.

a b c (Å): 4.5657 4.5657 4.5657
angles (deg): 60.00 60.00 60.00
Closest atoms and distances in Å follow each position.
Element x y z (fractional)
K1 0.0000 0.0000 0.0000  4 Re 2.80, 4 Ir 2.80
Cu1 0.5000 0.5000 0.5000  4 Re 2.80, 4 Ir 2.80
Re1 0.7500 0.7500 0.7500  4 K 2.80, 4 Cu 2.80
Ir1 0.2500 0.2500 0.2500  4 K 2.80, 4 Cu 2.80

Computed properties:
E above lowest polymorph: 615 meV per atom
Energy: -4.712 eV per atom
Size of the total moment: 2.9 Bohr magnetons per cell

No. 12
This record from OQMD via LeMat-Bulk describes crystalline KCuReIr at its relaxed geometry. The functional is GGA-PBE.

a b c (Å): 4.5603 4.5603 4.5603
angles (deg): 60.00 60.00 60.00
Closest atoms and distances in Å follow each position.
Element x y z (fractional)
K1 0.0000 0.0000 0.0000  4 Cu 2.79, 4 Ir 2.79
Cu1 0.2500 0.2500 0.2500  4 Re 2.79, 4 K 2.79
Re1 0.5000 0.5000 0.5000  4 Ir 2.79, 4 Cu 2.79
Ir1 0.7500 0.7500 0.7500  4 K 2.79, 4 Re 2.79

Computed properties:
E above lowest polymorph: 85 meV per atom
Energy: -5.242 eV per atom
Size of the total moment: 0.0 Bohr magnetons per cell

Q: Which value of energy does entry 3 give?
A: -3.297 eV per atom